Entry from the Alexandria database: crystalline Ti2ZnCd2 at its relaxed geometry (GGA-PBE).

- uncorrected energy (eV/atom) = -3.520
- space group = P4/mbm
- DOS at the Fermi energy (states/eV/cell) = 9.43

abc: 6.8006 6.8006 4.3416
angles: 90.00 90.00 90.00
Closest atoms and distances in Å follow each position.
Atoms (fractional coordinates):
Ti 0.1351 0.3649 0.0000  1 Ti 2.60, 2 Zn 2.65
Ti 0.3649 0.8649 0.0000  1 Ti 2.60, 2 Zn 2.65
Ti 0.6351 0.1351 0.0000  1 Ti 2.60, 2 Zn 2.65
Ti 0.8649 0.6351 0.0000  1 Ti 2.60, 2 Zn 2.65
Zn 0.0000 0.0000 0.0000  4 Ti 2.65
Zn 0.5000 0.5000 0.0000  4 Ti 2.65
Cd 0.1628 0.6628 0.5000  6 Ti 2.91-2.98, 1 Cd 3.13
Cd 0.3372 0.1628 0.5000  6 Ti 2.91-2.98, 1 Cd 3.13
Cd 0.6628 0.8372 0.5000  6 Ti 2.91-2.98, 1 Cd 3.13
Cd 0.8372 0.3372 0.5000  6 Ti 2.91-2.98, 1 Cd 3.13